VASP calculation (GGA-PBE) on crystalline U2MoAs at its relaxed geometry.

```
U2MoAs
1.0
3.6996 0.0000 0.0000
0.0000 3.6996 0.0000
0.0000 0.0000 5.7815
U Mo As
2 1 1
direct
0.0000 0.0000 0.2186
0.0000 0.0000 0.7814
0.5000 0.5000 0.5000
0.5000 0.5000 0.0000
```

Summary:
**DFT total energy**: -9.72 eV per atom
**Total magnetization**: 0.0 μB/f.u.
**Energy relative to the lowest polymorph listed for this composition**: 0 meV/atom

VASP calculation (GGA-PBE) on crystalline V3MoAs at its relaxed geometry.

```
V3MoAs
1.0
4.2387 -2.6720 0.0000
4.2387 2.6720 0.0000
-2.6803 0.0000 12.8952
V Mo As
12 4 4
direct
0.0336 0.3325 0.7882
0.0577 0.9032 0.9116
0.0968 0.9423 0.5884
0.1264 0.4310 0.5939
0.3325 0.0336 0.2882
0.4310 0.1264 0.0939
0.5690 0.8736 0.9061
0.6675 0.9664 0.7118
0.8736 0.5690 0.4061
0.9032 0.0577 0.4116
0.9423 0.0968 0.0884
0.9664 0.6675 0.2118
0.3606 0.5459 0.4050
0.4541 0.6394 0.0950
0.5459 0.3606 0.9050
0.6394 0.4541 0.5950
0.0000 0.5000 0.0000
0.2969 0.7031 0.7500
0.5000 0.0000 0.5000
0.7031 0.2969 0.2500
```

Summary:
**DFT total energy**: -8.62 eV per atom
**Total magnetization**: 0.0 μB/f.u.
**Energy relative to the lowest polymorph listed for this composition**: 0 meV/atom

VASP calculation (GGA-PBE) on crystalline VMoAs at its relaxed geometry.

```
VMoAs
1.0
3.2490 0.0000 0.0000
0.0000 3.2490 0.0000
0.0000 0.0000 8.3319
V Mo As
2 2 2
direct
0.0000 0.0000 0.0000
0.5000 0.5000 0.5000
0.0000 0.0000 0.6670
0.5000 0.5000 0.1670
0.0000 0.0000 0.3367
0.5000 0.5000 0.8367
```

Summary:
**DFT total energy**: -8.31 eV per atom
**Total magnetization**: 0.0 μB/f.u.

VASP calculation (GGA-PBE) on crystalline V2MoAs at its relaxed geometry.

```
V2MoAs
1.0
4.0807 0.0000 0.0000
0.0000 4.0807 0.0000
0.0000 0.0000 3.4103
V Mo As
2 1 1
direct
0.0000 0.5000 0.0000
0.5000 0.0000 0.0000
0.0000 0.0000 0.5000
0.5000 0.5000 0.5000
```

Summary:
**DFT total energy**: -8.57 eV per atom
**Total magnetization**: 0.0 μB/f.u.

VASP calculation (GGA-PBE) on crystalline VMoAs at its relaxed geometry.

```
VMoAs
1.0
4.3944 0.0000 0.0000
-2.1972 3.8057 0.0000
0.0000 0.0000 2.7586
V Mo As
1 1 1
direct
0.0000 0.0000 0.0000
0.3333 0.6667 0.6656
0.6667 0.3333 0.8553
```

Summary:
**DFT total energy**: -8.20 eV per atom
**Total magnetization**: 0.0 μB/f.u.

VASP calculation (GGA-PBE) on crystalline VMo3As at its relaxed geometry.

```
VMo3As
1.0
4.5456 0.0000 0.0000
0.0000 4.5456 0.0000
0.0000 0.0000 4.5456
V Mo As
1 3 1
direct
0.0000 0.0000 0.0000
0.0000 0.0000 0.5000
0.0000 0.5000 0.0000
0.5000 0.0000 0.0000
0.5000 0.5000 0.5000
```

Summary:
**DFT total energy**: -7.91 eV per atom
**Total magnetization**: 0.0 μB/f.u.
**Energy relative to the lowest polymorph listed for this composition**: 111 meV/atom

VASP calculation (GGA-PBE) on crystalline V3MoAs at its relaxed geometry.

```
V3MoAs
1.0
4.5587 0.0000 0.0000
0.0000 4.5587 0.0000
0.0000 0.0000 4.5587
V Mo As
3 1 1
direct
0.0000 0.0000 0.5000
0.0000 0.5000 0.0000
0.5000 0.0000 0.0000
0.0000 0.0000 0.0000
0.5000 0.5000 0.5000
```

Summary:
**DFT total energy**: -7.33 eV per atom
**Total magnetization**: 0.0 μB/f.u.
**Energy relative to the lowest polymorph listed for this composition**: 1282 meV/atom

VASP calculation (GGA-PBE) on crystalline V2MoAs at its relaxed geometry.

```
V2MoAs
1.0
6.8462 0.0000 0.0000
0.0000 6.8462 0.0000
0.0000 0.0000 5.2981
V Mo As
8 4 4
direct
0.2389 0.2500 0.1250
0.2500 0.7389 0.3750
0.2500 0.7611 0.8750
0.2611 0.2500 0.6250
0.7389 0.7500 0.6250
0.7500 0.2389 0.8750
0.7500 0.2611 0.3750
0.7611 0.7500 0.1250
0.0000 0.0000 0.5000
0.0000 0.5000 0.7500
0.5000 0.0000 0.2500
0.5000 0.5000 0.0000
0.0000 0.0000 0.0000
0.0000 0.5000 0.2500
0.5000 0.0000 0.7500
0.5000 0.5000 0.5000
```

Summary:
**DFT total energy**: -8.03 eV per atom
**Total magnetization**: 0.0 μB/f.u.

VASP calculation (GGA-PBE) on crystalline VMo2As4 at its relaxed geometry.

```
VMo2As4
1.0
0.0000 6.4803 3.3175
5.8379 0.0000 3.3175
5.8379 6.4803 0.0000
V Mo As
2 4 8
direct
0.0000 0.0000 0.0000
0.2500 0.2500 0.2500
0.0011 0.5025 0.0000
0.2500 0.7536 0.2489
0.5025 0.0011 0.4964
0.7536 0.2500 0.7475
0.1917 0.7923 0.5474
0.2194 0.3016 0.5356
0.3016 0.2194 0.9433
0.3067 0.7144 0.9484
0.7026 0.7814 0.0583
0.7144 0.3067 0.0306
0.7814 0.7026 0.4577
0.7923 0.1917 0.4686
```

Summary:
**DFT total energy**: -7.25 eV per atom
**Total magnetization**: 0.2 μB/f.u.

VASP calculation (GGA-PBE) on crystalline V2MoAs at its relaxed geometry.

```
V2MoAs
1.0
3.2530 0.0000 0.0000
0.0000 3.2530 0.0000
0.0000 0.0000 5.4326
V Mo As
2 1 1
direct
0.0000 0.0000 0.2390
0.0000 0.0000 0.7610
0.5000 0.5000 0.5000
0.5000 0.5000 0.0000
```

Summary:
**DFT total energy**: -8.64 eV per atom
**Total magnetization**: 0.0 μB/f.u.

VASP calculation (GGA-PBE) on crystalline VMoAs at its relaxed geometry.

```
VMoAs
1.0
0.0000 4.1019 6.2211
3.8861 0.0000 6.2211
3.8861 4.1019 0.0000
V Mo As
4 4 4
direct
0.0447 0.0447 0.7053
0.2947 0.2947 0.9553
0.7053 0.7053 0.0447
0.9553 0.9553 0.2947
0.0000 0.5000 0.5000
0.5000 0.0000 0.5000
0.5000 0.5000 0.0000
0.5000 0.5000 0.5000
0.0374 0.7126 0.7126
0.2874 0.9626 0.9626
0.7126 0.0374 0.0374
0.9626 0.2874 0.2874
```

Summary:
**DFT total energy**: -7.89 eV per atom
**Total magnetization**: 0.0 μB/f.u.

VASP calculation (GGA-PBE) on crystalline VMo3As at its relaxed geometry.

```
VMo3As
1.0
4.5867 0.0000 0.0000
0.0000 4.5867 0.0000
0.0000 0.0000 4.5867
V Mo As
1 3 1
direct
0.0000 0.0000 0.0000
0.0000 0.5000 0.5000
0.5000 0.0000 0.5000
0.5000 0.5000 0.0000
0.5000 0.5000 0.5000
```

Summary:
**DFT total energy**: -8.03 eV per atom
**Total magnetization**: 1.5 μB/f.u.
**Energy relative to the lowest polymorph listed for this composition**: 0 meV/atom

VASP calculation (GGA-PBE) on crystalline V3MoAs at its relaxed geometry.

```
V3MoAs
1.0
4.4155 0.0000 0.0000
0.0000 4.4155 0.0000
0.0000 0.0000 4.4155
V Mo As
3 1 1
direct
0.0000 0.0000 0.5000
0.0000 0.5000 0.0000
0.5000 0.0000 0.0000
0.5000 0.5000 0.5000
0.0000 0.0000 0.0000
```

Summary:
**DFT total energy**: -7.67 eV per atom
**Total magnetization**: 0.0 μB/f.u.
**Energy relative to the lowest polymorph listed for this composition**: 946 meV/atom

VASP calculation (GGA-PBE) on crystalline VZnMoAs2 at its relaxed geometry.

```
VZnMoAs2
1.0
4.6681 0.0000 0.0000
0.0000 4.6681 0.0000
0.0000 0.0000 4.7269
V Zn Mo As
1 1 1 2
direct
0.0000 0.0000 0.0000
0.5000 0.5000 0.5000
0.5000 0.5000 0.0000
0.0000 0.5000 0.5000
0.5000 0.0000 0.5000
```

Summary:
**DFT total energy**: -4.62 eV per atom
**Total magnetization**: 2.5 μB/f.u.